No. 1
First-principles (PBE) data for a relaxed structure of LiTa2I, as listed in Alexandria via LeMat-Bulk.

Results
ΔE_f (raw) in eV/atom: 0.64
Volume in Å³ per cell: 322.9
D(E_F) in states/eV/cell: 14.647
Distance to the lowest polymorph of the same formula in meV/atom: 0

Lattice parameters (Å, degrees): 3.901 3.901 21.222 90.00 90.00 90.00
Space group I-42d (No. 122)
Unique sites:
Li (0.000, 0.000, 0.000) (multiplicity 4)
Ta (0.247, 0.250, 0.125) (multiplicity 8)
I (0.000, 0.000, 0.500) (multiplicity 4)

=====

No. 2
First-principles (PBE) data for a relaxed structure of La2CoH8, as listed in Alexandria via LeMat-Bulk.

Results
Volume in Å³ per cell: 209.5
D(E_F) in states/eV/cell: 7.666
Calculated total energy in eV for the cell shown: -94.17

Lattice parameters (Å, degrees): 14.222 3.638 4.186 90.00 104.71 90.00
Space group C2/m (No. 12)
Unique sites:
La (0.141, 0.000, 0.142) (multiplicity 4)
Co (0.000, 0.500, 0.500) (multiplicity 2)
H (0.007, 0.000, 0.638) (multiplicity 4)
H (0.048, 0.500, 0.207) (multiplicity 4)
H (0.113, 0.500, 0.709) (multiplicity 4)
H (0.242, 0.000, 0.740) (multiplicity 4)

=====

No. 3
First-principles (PBE) data for a relaxed structure of Tl3Pd12W, as listed in Alexandria via LeMat-Bulk.

Results
Volume in Å³ per cell: 265.3
D(E_F) in states/eV/cell: 8.313
Calculated formation energy in eV per formula unit: -2.9

Lattice parameters (Å, degrees): 4.017 4.017 16.445 90.00 90.00 90.00
Space group P4/mmm (No. 123)
Unique sites:
Tl (0.000, 0.000, 0.000) (multiplicity 1)
Tl (0.000, 0.000, 0.250) (multiplicity 2)
Pd (0.000, 0.500, 0.128) (multiplicity 4)
Pd (0.000, 0.500, 0.387) (multiplicity 4)
Pd (0.500, 0.500, 0.000) (multiplicity 1)
Pd (0.500, 0.500, 0.259) (multiplicity 2)
Pd (0.500, 0.500, 0.500) (multiplicity 1)
W (0.000, 0.000, 0.500) (multiplicity 1)

=====

No. 4
First-principles (PBE) data for a relaxed structure of CaHg2H, as listed in Alexandria via LeMat-Bulk.

Results
Volume in Å³ per cell: 369.5
D(E_F) in states/eV/cell: 9.438
Distance to the lowest polymorph of the same formula in meV/atom: 270

Lattice parameters (Å, degrees): 7.176 7.176 7.176 90.00 90.00 90.00
Space group Fm-3m (No. 225)
Unique sites:
Ca (0.000, 0.000, 0.000) (multiplicity 4)
Hg (0.250, 0.250, 0.250) (multiplicity 8)
H (0.000, 0.000, 0.500) (multiplicity 4)

=====

No. 5
First-principles (PBE) data for a relaxed structure of Nd5SmTm2Sc, as listed in Alexandria via LeMat-Bulk.

Results
Volume in Å³ per cell: 1205.3
D(E_F) in states/eV/cell: 53.580
Calculated formation energy in eV per formula unit: 1.2

Lattice parameters (Å, degrees): 5.363 21.866 10.278 90.00 90.00 90.00
Space group Cmc2_1 (No. 36)
Unique sites:
Nd (0.000, 0.000, 0.000) (multiplicity 4)
Nd (0.000, 0.126, 0.250) (multiplicity 4)
Nd (0.000, 0.221, 0.563) (multiplicity 4)
Nd (0.000, 0.221, 0.938) (multiplicity 4)
Nd (0.000, 0.498, 0.750) (multiplicity 4)
Sm (0.000, 0.101, 0.750) (multiplicity 4)
Tm (0.000, 0.384, 0.002) (multiplicity 4)
Tm (0.000, 0.384, 0.498) (multiplicity 4)
Sc (0.000, 0.285, 0.251) (multiplicity 4)

=====

No. 6
First-principles (PBE) data for a relaxed structure of MgReHg2, as listed in Alexandria via LeMat-Bulk.

Results
Volume in Å³ per cell: 303.7
D(E_F) in states/eV/cell: 17.124
Calculated formation energy in eV per formula unit: 3.3

Lattice parameters (Å, degrees): 6.722 6.722 6.722 90.00 90.00 90.00
Space group F-43m (No. 216)
Unique sites:
Mg (0.000, 0.000, 0.000) (multiplicity 4)
Re (0.250, 0.250, 0.250) (multiplicity 4)
Hg (0.000, 0.000, 0.500) (multiplicity 4)
Hg (0.250, 0.250, 0.750) (multiplicity 4)

=====

No. 7
First-principles (PBE) data for a relaxed structure of BiTe2I, as listed in Alexandria via LeMat-Bulk.

Results
ΔE_f (raw) in eV/atom: 0.14
Volume in Å³ per cell: 634.5
D(E_F) in states/eV/cell: 4.427
Distance to the lowest polymorph of the same formula in meV/atom: 295

Lattice parameters (Å, degrees): 8.416 8.416 8.959 90.00 90.00 90.00
Space group I-42d (No. 122)
Unique sites:
Bi (0.000, 0.000, 0.000) (multiplicity 4)
Te (0.220, 0.250, 0.125) (multiplicity 8)
I (0.000, 0.000, 0.500) (multiplicity 4)

=====

No. 8
First-principles (PBE) data for a relaxed structure of SiTc2Te, as listed in Alexandria via LeMat-Bulk.

Results
ΔE_f (raw) in eV/atom: 0.67
Volume in Å³ per cell: 363.2
D(E_F) in states/eV/cell: 1.629
Distance to the lowest polymorph of the same formula in meV/atom: 672

Lattice parameters (Å, degrees): 5.685 5.685 11.239 90.00 90.00 90.00
Space group I-42d (No. 122)
Unique sites:
Si (0.000, 0.000, 0.000) (multiplicity 4)
Tc (0.215, 0.250, 0.125) (multiplicity 8)
Te (0.000, 0.000, 0.500) (multiplicity 4)